[1]
## AgAu (PBE-GGA)

Data for an optimized crystal structure of AgAu.

a = 3.8996 Å, b = 3.8996 Å, c = 3.8996 Å
α = 60.00°, β = 60.00°, γ = 60.00°
Closest atoms and distances in Å follow each position.
Atoms (fractional coordinates):
Ag 0.0000 0.0000 0.0000  6 Au 2.76
Au 0.5000 0.5000 0.5000  6 Ag 2.76

Computed properties:
Its calculated formation energy is 0.255 eV/atom.


[2]
## Na4GaBi3O8 (PBE-GGA)

Data for an optimized crystal structure of Na4GaBi3O8.

a = 6.9001 Å, b = 6.9001 Å, c = 6.9001 Å
α = 59.64°, β = 59.64°, γ = 59.64°
Closest atoms and distances in Å follow each position.
Atoms (fractional coordinates):
Na 0.0000 0.0000 0.0000  6 O 2.73
Na 0.0000 0.5000 0.5000  6 O 2.47-2.49
Na 0.5000 0.0000 0.5000  6 O 2.47-2.49
Na 0.5000 0.5000 0.0000  6 O 2.47-2.49
Ga 0.5000 0.5000 0.5000  6 O 2.14
Bi 0.0000 0.0000 0.5000  6 O 2.40-2.42
Bi 0.0000 0.5000 0.0000  6 O 2.40-2.42
Bi 0.5000 0.0000 0.0000  6 O 2.40-2.42
O 0.2465 0.2465 0.2465  3 Bi 2.40, 3 Na 2.47
O 0.2735 0.7195 0.7195  1 Ga 2.14
O 0.2805 0.2805 0.7265  1 Ga 2.14
O 0.2805 0.7265 0.2805  1 Ga 2.14
O 0.7195 0.2735 0.7195  1 Ga 2.14
O 0.7195 0.7195 0.2735  1 Ga 2.14
O 0.7265 0.2805 0.2805  1 Ga 2.14
O 0.7535 0.7535 0.7535  3 Bi 2.40, 3 Na 2.47

Computed properties:
The formation energy from raw total energies is -1373 meV/atom.


[3]
## CsK2TlBi (PBE-GGA)

Data for an optimized crystal structure of CsK2TlBi.

a = 6.8780 Å, b = 6.8780 Å, c = 6.4707 Å
α = 90.00°, β = 90.00°, γ = 90.00°
Closest atoms and distances in Å follow each position.
Atoms (fractional coordinates):
Cs 0.0000 0.0000 0.0000  8 K 4.72, 4 Tl 4.86
K 0.0000 0.5000 0.5000  2 Bi 3.44
K 0.5000 0.0000 0.5000  2 Bi 3.44
Tl 0.5000 0.5000 0.0000  2 Bi 3.24
Bi 0.5000 0.5000 0.5000  2 Tl 3.24, 4 K 3.44

Computed properties:
Its calculated formation energy is -0.071 eV/atom.


Number 1: total magnetization 0.000 μB per formula unit. Number 2: total magnetization 0.000 μB per formula unit. Number 3: total magnetization 0.253 μB per formula unit.